# 1
A relaxed structure of CeY3Pt8, computed with GGA-PBE.

SG: No. 156
Energy above the most stable polymorph in this dataset, meV/atom: 56
Crystal system: trigonal
ΔE_f, meV per atom: -1031

```
12
Lattice="-2.5079 -0.8034 -4.7909 0.1392 -4.0056 3.7180 -7.6569 2.9891 3.5070" Properties=species:S:1:pos:R:3 pbc="T T T"
Y -7.1958 2.8091 3.2958
Y -2.1192 -1.6780 -1.7285
Y -4.9326 -0.5798 -0.4399
Pt -8.1750 -0.5498 -0.2863
Pt -7.0066 1.8223 0.2430
Pt -8.3908 0.0473 4.3844
Pt -4.5728 -1.4431 2.6357
Pt -6.9379 -0.1535 2.0770
Pt -3.4750 -3.1379 0.7688
Pt -2.2075 -2.7319 3.1901
Pt -2.2779 -0.7075 1.3111
Ce -4.3226 1.6875 1.9798
```

***

# 2
A relaxed structure of CeYPt, computed with GGA-PBE.

SG: No. 216
Energy above the most stable polymorph in this dataset, meV/atom: 0
Crystal system: cubic
ΔE_f, meV per atom: -664

```
3
Lattice="-3.8929 2.8994 -0.8330 -3.5966 0.3161 3.3496 -0.5869 4.1416 2.5995" Properties=species:S:1:pos:R:3 pbc="T T T"
Ce -4.0382 3.6786 2.5580
Y 0.0000 0.0000 0.0000
Pt -2.0191 1.8393 1.2790
```

***

# 3
A relaxed structure of Ce2Y2Pt15, computed with GGA-PBE.

SG: No. 166
Crystal system: trigonal
ΔE_f, meV per atom: -696

```
19
Lattice="-3.5287 3.8729 -4.8194 -5.8298 1.3289 3.8633 1.8288 6.4564 2.3764" Properties=species:S:1:pos:R:3 pbc="T T T"
Pt -5.4444 4.6600 2.3804
Pt -2.0853 6.9982 -0.9601
Pt -4.2717 3.0515 -2.0159
Pt -1.7643 1.9365 -2.4097
Pt -4.3175 5.9059 -1.8717
Pt 0.9144 3.2282 1.1882
Pt -0.6441 4.8008 2.8565
Pt -2.9149 0.6644 1.9317
Pt -1.7988 4.7071 -2.4960
Pt -3.3570 2.9845 3.3832
Pt -1.6939 7.1711 1.6522
Pt -5.0868 2.1503 1.0598
Pt 0.0989 5.6223 0.0530
Pt -3.2122 5.7523 3.2921
Pt -5.8358 4.4871 -0.2319
Y -4.7837 7.4065 0.9024
Y -2.7460 4.2517 0.5180
Ce -0.7486 1.1591 0.1412
Ce -6.7811 10.4991 1.2791
```

***

# 4
A relaxed structure of CeY2Pt, computed with GGA-PBE.

SG: No. 160
Energy above the most stable polymorph in this dataset, meV/atom: 198
Crystal system: trigonal
ΔE_f, meV per atom: -425

```
4
Lattice="3.8765 0.0000 0.0000 1.9382 3.3571 0.0000 1.9382 1.1190 9.3440" Properties=species:S:1:pos:R:3 pbc="T T T"
Ce 3.8765 2.2381 4.6260
Y 1.9382 1.1190 1.7142
Y 1.9382 1.1190 7.6542
Pt 3.8765 2.2381 0.0215
```

***

# 5
A relaxed structure of CeYPt4, computed with GGA-PBE.

SG: No. 216
Crystal system: cubic
ΔE_f, meV per atom: -1061

```
6
Lattice="5.4674 0.0000 0.0000 2.7337 4.7349 0.0000 2.7337 1.5783 4.4642" Properties=species:S:1:pos:R:3 pbc="T T T"
Pt 5.4675 3.1566 0.5607
Pt 6.8322 3.9445 2.7892
Pt 4.1027 3.9445 2.7892
Pt 5.4675 1.5808 2.7892
Y 2.7337 1.5783 1.1160
Ce 0.0000 0.0000 0.0000
```

***

# 6
A relaxed structure of CeYPt, computed with GGA-PBE.

SG: No. 156
Energy above the most stable polymorph in this dataset, meV/atom: 120
Crystal system: trigonal
ΔE_f, meV per atom: -544

```
3
Lattice="-2.1991 2.4130 -2.3307 -3.7100 -0.6771 2.7995 2.9727 3.5345 0.8545" Properties=species:S:1:pos:R:3 pbc="T T T"
Y -2.8004 2.1729 0.7543
Pt -0.0320 2.9834 0.6791
Ce -0.1040 0.1141 -0.1102
```